No. 1
Density functional theory data (GGA-PBE) for a relaxed YTlHgS3 crystal.

Structure (POSCAR):
```
YTlHgS3
1.0
10.7253 0.0000 0.0000
0.0000 4.1222 0.0000
0.0000 0.0000 15.0482
S Hg Tl Y
12 4 4 4
Direct
0.7364 0.2500 0.7955 S
0.7636 0.7500 0.2955 S
0.9855 0.2500 0.1279 S
0.4571 0.7500 0.8742 S
0.2636 0.7500 0.2045 S
0.5145 0.7500 0.6279 S
0.4855 0.2500 0.3721 S
0.2364 0.2500 0.7045 S
0.5429 0.2500 0.1258 S
0.9571 0.7500 0.6258 S
0.0429 0.2500 0.3742 S
0.0145 0.7500 0.8721 S
0.7643 0.2500 0.1484 Hg
0.7357 0.7500 0.6484 Hg
0.2643 0.2500 0.3516 Hg
0.2357 0.7500 0.8516 Hg
0.2637 0.2500 0.0579 Tl
0.7363 0.7500 0.9421 Tl
0.2363 0.7500 0.5579 Tl
0.7637 0.2500 0.4421 Tl
0.4864 0.2500 0.7504 Y
0.9864 0.2500 0.7496 Y
0.5136 0.7500 0.2496 Y
0.0136 0.7500 0.2504 Y
```

Output
Magnetic moment (μB per formula unit): 0.002
Space group: No. 62
E_tot (eV per atom): -4.576

***

No. 2
Density functional theory data (GGA-PBE) for a relaxed DyPaAsO crystal.

Structure (POSCAR):
```
DyPaAsO
1.0
4.1367 0.0000 0.0000
0.0000 8.0840 0.0000
0.0000 0.0000 5.5913
As Pa O Dy
2 2 2 2
Direct
0.0000 0.1344 0.9400 As
0.0000 0.8656 0.4400 As
0.5000 0.3790 0.9397 Pa
0.5000 0.6210 0.4397 Pa
0.5000 0.6666 0.9338 O
0.5000 0.3334 0.4338 O
0.0000 0.2204 0.4405 Dy
0.0000 0.7796 0.9405 Dy
```

Output
Magnetic moment (μB per formula unit): 1.124
Space group: No. 26
E_tot (eV per atom): -7.232

***

Distance to the lowest polymorph of the same formula for every record listed, in sequence, given in meV per atom: 0, 17.